Zr2Rh PBE relaxed; uncorrected energy = -52.0 eV/cell; magnetic moment = 0.0 Bohr magnetons per cell
1.0
1.7206 -7.1400 0.0000
1.7206 7.1400 0.0000
0.0000 0.0000 4.7405
Zr Rh
4 2
Cartesian
1.7206 6.0434 3.5554
1.7206 3.7195 1.1851
1.7206 -3.7195 3.5554
1.7206 -6.0434 1.1851
1.7206 1.1418 3.5554
1.7206 -1.1418 1.1851